# 1
{"formula": "FeHg2I2", "functional": "PBE", "state": "relaxed", "lattice": [[3.9501, 0.0000, 0.0000], [0.0000, 3.9501, 0.0000], [1.9751, 1.9751, 10.2377]], "species": ["I", "I", "Hg", "Hg", "Fe"], "fractional_positions": [[0.4148, 0.4148, 0.1703], [0.5852, 0.5852, 0.8297], [0.7500, 0.2500, 0.5000], [0.2500, 0.7500, 0.5000], [0.0000, 0.0000, 0.0000]], "space_group": "No. 139", "crystal_system": "tetragonal", "energy_ha_per_atom": -0.0771}

---

# 2
{"formula": "Fe2HgI8", "functional": "PBE", "state": "relaxed", "lattice": [[-1.6617, -5.9978, 4.7745], [7.1740, 2.2799, 4.5110], [-1.1397, 6.0050, 6.2971]], "species": ["I", "I", "I", "I", "I", "I", "I", "I", "Fe", "Fe", "Hg"], "fractional_positions": [[0.2951, 0.9041, 0.3513], [0.2951, 0.3513, 0.9041], [0.7049, 0.0959, 0.6487], [0.2229, 0.3706, 0.3706], [0.7049, 0.6487, 0.0959], [0.1577, 0.8440, 0.8440], [0.8423, 0.1560, 0.1560], [0.7771, 0.6294, 0.6294], [0.8148, 0.7970, 0.7970], [0.1852, 0.2030, 0.2030], [0.0000, 0.0000, 0.0000]], "space_group": "No. 12", "crystal_system": "monoclinic", "energy_ha_per_atom": -0.1047}

---

# 3
{"formula": "FeHgI3", "functional": "PBE", "state": "relaxed", "lattice": [[-2.6929, -4.5940, 0.4825], [3.2357, -1.4775, 3.9920], [-3.2966, 2.3025, 3.5242]], "species": ["I", "I", "I", "Hg", "Fe"], "fractional_positions": [[0.0000, 0.5000, 0.0000], [0.0000, 0.0000, 0.5000], [0.5000, 0.0000, 0.0000], [0.5000, 0.5000, 0.5000], [0.0000, 0.0000, 0.0000]], "space_group": "No. 221", "crystal_system": "cubic", "energy_ha_per_atom": -0.0866}

---

# 4
{"formula": "Fe2HgI", "functional": "PBE", "state": "relaxed", "lattice": [[0.0000, 3.2058, 3.2058], [3.2058, 0.0000, 3.2058], [3.2058, 3.2058, 0.0000]], "species": ["I", "Hg", "Fe", "Fe"], "fractional_positions": [[0.0000, 0.0000, 0.0000], [0.5000, 0.5000, 0.5000], [0.2500, 0.2500, 0.2500], [0.7500, 0.7500, 0.7500]], "space_group": "No. 225", "crystal_system": "cubic", "energy_ha_per_atom": -0.1294}